(1)
A plane-wave DFT calculation with PBE was carried out for K2CrAsPt after structural relaxation.

Output
Uncorrected energy, eV/atom: -4.097

The structure in POSCAR format:
```
K2CrAsPt
1.0
6.468 0.000 0.000
0.000 6.468 0.000
0.000 0.000 4.555
K Cr As Pt
2 1 1 1
Cartesian
0.000 3.234 0.000
3.234 0.000 0.000
0.000 0.000 2.277
3.234 3.234 0.000
3.234 3.234 2.277
```



(2)
A plane-wave DFT calculation with PBE was carried out for KCr2ReAs after structural relaxation.

Output
Uncorrected energy, eV/atom: -5.669

The structure in POSCAR format:
```
KCr2ReAs
1.0
4.511 0.000 0.000
0.000 4.511 0.000
0.000 0.000 5.692
K Cr Re As
1 2 1 1
Cartesian
0.000 0.000 0.000
0.000 2.256 2.846
2.256 0.000 2.846
0.000 0.000 2.846
2.256 2.256 0.000
```



DFT formation energy (computed, meV/atom): 404.7 1819.9